MoSeBr2O: relaxed, GGA+U.

a b c (Å): 5.3170 5.3170 4.9692
angles (deg): 90.00 90.00 90.00
With the nearest neighbours (Å) after each atom.
Atoms (fractional coordinates):
1 Mo 0.0000 0.0000 0.0000  2 Se 2.48, 4 Br 2.66
2 Se 0.0000 0.0000 0.5000  2 Mo 2.48
3 Br 0.0000 0.5000 0.0000  2 Mo 2.66
4 Br 0.5000 0.0000 0.0000  2 Mo 2.66
5 O 0.5000 0.5000 0.5000  8 Br 3.64, 4 Se 3.76

Properties
- final energy (eV per atom) = -3.151
- magnetization (μB per cell) = 2.0
- relative energy among the computed polymorphs (eV per formula unit) = 0.11